Record 1
Material: CeYGeSe
Method: DFT, PBE
State: relaxed Values from VASP.

SG ... R3m
Electronic total energy ... -0.4759 Ry/atom

Cell and atoms, written as Quantum ESPRESSO input:
```
&SYSTEM
  ibrav = 0, nat = 4, ntyp = 4
/
ATOMIC_SPECIES
Ce 140.12 Ce.upf
Y 88.91 Y.upf
Ge 72.64 Ge.upf
Se 78.96 Se.upf
CELL_PARAMETERS angstrom
2.094 1.209 6.831
-2.094 1.209 6.831
0.000 -2.418 6.831
ATOMIC_POSITIONS angstrom
Ce 0.000 0.000 0.000
Y 0.000 0.000 10.368
Ge 0.000 0.000 5.177
Se 0.000 0.000 15.480
```

Record 2
Material: Li2InW
Method: DFT, PBE
State: relaxed Values from VASP.

ΔE_f ... 0.3021 eV per atom
SG ... Cmm2

Cell and atoms, written as Quantum ESPRESSO input:
```
&SYSTEM
  ibrav = 0, nat = 4, ntyp = 3
/
ATOMIC_SPECIES
Li 6.94 Li.upf
In 114.82 In.upf
W 183.84 W.upf
CELL_PARAMETERS angstrom
1.867 -2.099 0.000
1.867 2.099 0.000
0.000 0.000 9.138
ATOMIC_POSITIONS angstrom
Li 0.000 0.000 0.000
Li 1.867 0.000 2.479
In 1.867 0.000 6.938
W 0.000 0.000 4.637
```

Number 1: spin magnetization 0.6 μB/cell. Number 2: spin magnetization 0.0 μB/cell.